Entry from Alexandria via LeMat-Bulk: an optimized crystal structure of Sm3ErTm2Se6 (PBE-GGA).

Lattice parameters (Å, degrees): 7.0083 12.2089 7.2196 90.00 109.01 90.00
Closest atoms and distances in Å follow each position.
Space group C2/m (No. 12)
One atom of each set of equivalent atoms:
Sm1 0.0000 0.0000 0.0000  6 Se 2.95-2.96
Sm2 0.0000 0.3343 0.0000  6 Se 2.96
Er1 0.0000 0.5000 0.5000  6 Se 2.85
Tm1 0.0000 0.1665 0.5000  6 Se 2.84
Se1 0.2436 0.0000 0.7351  2 Tm 2.84, 1 Er 2.85, 3 Sm 2.95-2.96
Se2 0.2458 0.3326 0.7358  2 Tm 2.84, 1 Er 2.85, 3 Sm 2.96

Computed properties:
E ... -5.799 eV per atom
Magnetic moment ... 0.000 μB per atom

***

Entry from Alexandria via LeMat-Bulk: an optimized crystal structure of Th2Ni12As3Pt (PBE-GGA).

Lattice parameters (Å, degrees): 8.7167 8.7167 12.0661 90.00 90.00 120.00
Closest atoms and distances in Å follow each position.
Space group R-3m (No. 166, hexagonal axes)
One atom of each set of equivalent atoms:
Th1 0.0000 0.0000 0.1820  9 Ni 2.62-2.86
Ni1 0.0056 0.5028 0.1965  3 Ni 2.36-2.58, 1 As 2.37, 1 Pt 2.50, 1 Th 2.62
Ni2 0.0155 0.5078 0.6084  2 Ni 2.36-2.63
As1 0.0000 0.5000 0.0000  2 Ni 2.37
Pt1 0.0000 0.0000 0.5000  6 Ni 2.50

Computed properties:
Magnetic moment ... 0.000 μB per atom
Energy of formation ... -77 meV per atom

***

Entry from Alexandria via LeMat-Bulk: an optimized crystal structure of BeZnMo (PBE-GGA).

Lattice parameters (Å, degrees): 2.7065 2.7977 10.0530 90.00 90.00 90.00
Closest atoms and distances in Å follow each position.
Space group Imm2 (No. 44)
One atom of each set of equivalent atoms:
Be1 0.0000 0.0000 0.0000  4 Zn 2.40, 4 Mo 2.54
Zn1 0.0000 0.0000 0.3596  4 Be 2.40
Mo1 0.0000 0.0000 0.6626  4 Be 2.54, 4 Mo 2.71-2.80, 4 Zn 2.78

Computed properties:
Offset from the most stable computed form ... 0.0000 eV per atom
Magnetic moment ... 0.000 μB per atom
Energy of formation ... 127 meV per atom

***

Entry from Alexandria via LeMat-Bulk: an optimized crystal structure of LaOsW2 (PBE-GGA).

Lattice parameters (Å, degrees): 2.9042 2.9042 8.9488 90.00 90.00 90.00
Closest atoms and distances in Å follow each position.
Space group P4/mmm (No. 123)
One atom of each set of equivalent atoms:
La1 0.0000 0.0000 0.0000  4 La 2.90
Os1 0.0000 0.0000 0.5000  8 W 2.73, 4 Os 2.90
W1 0.5000 0.5000 0.2993  4 Os 2.73, 4 W 2.90

Computed properties:
Offset from the most stable computed form ... 0.1135 eV per atom
Magnetic moment ... 0.000 μB per atom
Energy of formation ... 507 meV per atom

***

Entry from Alexandria via LeMat-Bulk: an optimized crystal structure of BaYMg6O8 (PBE-GGA).

Lattice parameters (Å, degrees): 4.7508 4.7508 9.3241 90.00 90.00 90.00
Closest atoms and distances in Å follow each position.
Space group P4/mmm (No. 123)
One atom of each set of equivalent atoms:
Ba1 0.0000 0.0000 0.0000  6 O 2.38-2.51
Y1 0.0000 0.0000 0.5000  6 O 2.15-2.38
Mg1 0.0000 0.5000 0.2508  6 O 2.32-2.38
Mg2 0.5000 0.5000 0.0000  6 O 2.36-2.38
Mg3 0.5000 0.5000 0.5000  6 O 2.31-2.38
O1 0.0000 0.0000 0.2695  1 Y 2.15, 4 Mg 2.38
O2 0.0000 0.5000 0.0000  4 Mg 2.34-2.38, 2 Ba 2.38
O3 0.0000 0.5000 0.5000  4 Mg 2.32-2.38, 2 Y 2.38
O4 0.5000 0.5000 0.2526  6 Mg 2.31-2.38

Computed properties:
Offset from the most stable computed form ... 0.0686 eV per atom
Magnetic moment ... 0.000 μB per atom

***

Entry from Alexandria via LeMat-Bulk: an optimized crystal structure of Na3Sr8Tl2 (PBE-GGA).

Lattice parameters (Å, degrees): 9.7585 19.5004 6.2808 90.00 90.00 90.00
Closest atoms and distances in Å follow each position.
Space group Cmmm (No. 65)
One atom of each set of equivalent atoms:
Na1 0.0000 0.0000 0.0000  8 Sr 3.70-3.81
Na2 0.1689 0.5000 0.5000  1 Na 3.30
Sr1 0.0000 0.1108 0.5000  5 Sr 3.76-4.18, 4 Na 3.81-3.89, 2 Tl 3.89
Sr2 0.0000 0.3038 0.5000  2 Tl 3.47, 1 Sr 3.76
Sr3 0.2187 0.3729 0.0000  2 Tl 3.38-3.53, 1 Na 3.70
Tl1 0.0000 0.2285 0.0000  6 Sr 3.38-3.53

Computed properties:
Magnetic moment ... 0.000 μB per atom
Energy of formation ... -45 meV per atom